1.
{"formula": "Zr2ScAg", "functional": "GGA-PBE", "state": "optimized geometry", "cell": [[3.2253, 0.0000, 0.0000], [0.0000, 3.2301, 0.0071], [0.0000, 3.2034, 8.3771]], "species": ["Zr", "Zr", "Sc", "Ag"], "fractional_positions": [[0.0000, 0.9998, 0.0002], [0.5000, 0.2390, 0.2612], [0.5000, 0.7660, 0.7337], [0.0000, 0.4953, 0.5049]], "delta_e_f_mev_per_atom": -102, "de_polymorph_ev_per_fu": 0.01, "space_group": "Pm, No. 6"}

---

2.
{"formula": "ZrScAg", "functional": "GGA-PBE", "state": "optimized geometry", "cell": [[-2.7091, 0.7678, 3.7626], [-1.8694, -3.6284, 2.3293], [1.5715, -1.0987, 4.2906]], "species": ["Sc", "Ag", "Zr"], "fractional_positions": [[0.0000, 0.0000, 0.0000], [0.7500, 0.7500, 0.7500], [0.5000, 0.5000, 0.5000]], "delta_e_f_mev_per_atom": 319, "de_polymorph_ev_per_fu": 1.41, "space_group": "F-43m, No. 216"}

---

3.
{"formula": "ZrScAg2", "functional": "GGA-PBE", "state": "optimized geometry", "cell": [[3.3256, 0.0000, 0.0000], [0.0000, 3.4009, -0.0006], [0.0000, 3.3982, 7.1797]], "species": ["Ag", "Ag", "Sc", "Zr"], "fractional_positions": [[0.0000, 0.5118, 0.4885], [0.0000, 0.9882, 0.0115], [0.5000, 0.2500, 0.2500], [0.5000, 0.7500, 0.7500]], "delta_e_f_mev_per_atom": -114, "de_polymorph_ev_per_fu": 0.12, "space_group": "Pmmm, No. 47"}